Compound: NiOsAu4
Source: Alexandria via LeMat-Bulk
Functional: PBE
Structure: optimized geometry

a b c (Å): 5.368 5.368 5.368
angles (deg): 60.00 60.00 60.00
Site moments in Bohr magnetons follow the coordinates.
Element x y z (fractional)
Au (0.875, 0.375, 0.375)  0.04
Au (0.375, 0.375, 0.375)  0.04
Au (0.375, 0.375, 0.875)  0.04
Au (0.375, 0.875, 0.375)  0.04
Ni (0.750, 0.750, 0.750)  0.82
Os (0.000, 0.000, 0.000)  2.21

Properties
As for the formation energy: 915 meV/atom. For the total energy, the calculation gives -24.6 eV/f.u. The value obtained for the size of the total moment is 3.254 μB per cell.